1.
Entry from Alexandria: crystalline Sc2NiGe3 at its relaxed geometry (GGA-PBE).

a = 10.0586 Å, b = 4.0716 Å, c = 6.5175 Å
α = 90.00°, β = 129.68°, γ = 90.00°
With the nearest neighbours (Å) after each atom.
Space group Cm (No. 8)
Unique sites:
Sc1 0.0000 0.0000 0.0000 (multiplicity 2)  8 Ge 2.86-3.04, 2 Ni 3.09
Sc2 0.1255 0.0000 0.6121 (multiplicity 2)  7 Ge 2.77-2.99, 3 Ni 2.87-2.99
Ni1 0.3883 0.0000 0.5595 (multiplicity 2)  4 Ge 2.33-2.42
Ge1 0.1778 0.5000 0.9454 (multiplicity 2)  1 Ni 2.34
Ge2 0.2435 0.5000 0.4308 (multiplicity 2)  2 Ni 2.33
Ge3 0.4038 0.0000 0.2039 (multiplicity 2)  1 Ni 2.42, 2 Ge 2.69

=====

2.
Entry from Alexandria: crystalline Y2HfCrRh at its relaxed geometry (GGA-PBE).

a = 5.2464 Å, b = 5.2464 Å, c = 4.8340 Å
α = 90.00°, β = 90.00°, γ = 90.00°
With the nearest neighbours (Å) after each atom.
Space group P4/mmm (No. 123)
Unique sites:
Y1 0.0000 0.5000 0.0000 (multiplicity 2)  2 Rh 2.62
Hf1 0.0000 0.0000 0.5000 (multiplicity 1)  8 Y 3.57, 4 Cr 3.71
Cr1 0.5000 0.5000 0.5000 (multiplicity 1)  2 Rh 2.42
Rh1 0.5000 0.5000 0.0000 (multiplicity 1)  2 Cr 2.42, 4 Y 2.62

=====

Number 1: E_tot -36.1 eV/f.u., magnetization 0.00 μB per cell. Number 2: E_tot -37.5 eV/f.u., magnetization 2.03 μB per cell.